Arrangement 1

Below is a geometry-optimized CrH2O structure, with properties calculated at the PBE with a Hubbard U level.

V   27.1 Å³ per cell
Total magnetization   3.102 μB per formula unit
D(E_F)   0.4259 states/eV/atom
SG   Fm-3m, No. 225

```
CrH2O
1.0
0.000 2.383 2.383
2.383 0.000 2.383
2.383 2.383 0.000
H Cr O
2 1 1
Direct
0.250 0.250 0.250
0.750 0.750 0.750
0.500 0.500 0.500
0.000 0.000 0.000
```

=====

Arrangement 2

Below is a geometry-optimized CrH2O structure, with properties calculated at the PBE with a Hubbard U level.

V   65.0 Å³ per cell
Total magnetization   3.332 μB per formula unit
D(E_F)   0.1837 states/eV/atom
SG   I4_1/amd, No. 141

```
CrH2O
1.0
-1.216 0.410 2.550
-2.023 -1.904 -0.659
2.868 -6.580 4.023
Cr H O
2 4 2
Direct
0.750 0.250 0.500
0.000 0.000 0.000
0.875 0.125 0.750
0.875 0.625 0.250
0.375 0.125 0.750
0.875 0.125 0.250
0.500 0.500 0.000
0.250 0.750 0.500
```

=====

Short version: arrangement 2 is the most stable of them.

=====

Arrangement 1

Below is a geometry-optimized CrH3O structure, with properties calculated at the PBE with a Hubbard U level.

V   41.0 Å³ per cell
Total magnetization   1.000 μB per formula unit
D(E_F)   1.6955 states/eV/atom
SG   Pm-3m, No. 221

```
CrH3O
1.0
3.448 0.000 0.000
0.000 3.448 0.000
0.000 0.000 3.448
H Cr O
3 1 1
Direct
0.500 0.000 0.000
0.000 0.500 0.000
0.000 0.000 0.500
0.000 0.000 0.000
0.500 0.500 0.500
```

=====

Arrangement 2

Below is a geometry-optimized CrH3O structure, with properties calculated at the PBE with a Hubbard U level.

V   36.4 Å³ per cell
Total magnetization   4.309 μB per formula unit
D(E_F)   0.1643 states/eV/atom
SG   Pm-3m, No. 221

```
CrH3O
1.0
-2.984 -0.590 1.313
1.236 -2.600 1.641
0.738 1.968 2.562
Cr H O
1 3 1
Direct
0.500 0.500 0.500
0.000 0.500 0.000
0.000 0.000 0.500
0.500 0.000 0.000
0.000 0.000 0.000
```

=====

Short version: arrangement 2 is the most stable of them.